Density functional theory data (GGA-PBE) for ErPd2Pb after structural relaxation.

Unit cell a=4.5003 b=6.1615 c=6.0055 alpha=90.00 beta=90.00 gamma=90.00
With the nearest neighbours (Å) after each atom.
Sites, in units of the cell vectors:
Er  0.5000  0.4169  0.3700  6 Pd 2.86-2.99
Pd  0.5000  0.7914  0.6524  3 Er 2.86-2.90, 3 Pb 2.92-2.93, 2 Pd 2.93
Pb  0.5000  0.9067  0.1265  6 Pd 2.89-2.93
Er  0.0000  0.5831  0.8700  6 Pd 2.86-2.99
Pd  0.0000  0.2086  0.1524  3 Er 2.86-2.90, 3 Pb 2.92-2.93, 2 Pd 2.93
Pd  0.5000  0.2911  0.8512  4 Er 2.88-3.21, 3 Pb 2.89, 2 Pd 2.93
Pd  0.0000  0.7089  0.3512  4 Er 2.88-3.21, 3 Pb 2.89, 2 Pd 2.93
Pb  0.0000  0.0933  0.6265  6 Pd 2.89-2.93

Crystal system: orthorhombic
Volume, Å³ per atom: 20.82
Total magnetization, μB per formula unit: 0.00
Energy, eV per atom: -5.33